Record 1
TbTh3Mn | GGA-PBE | optimized geometry

## Properties
D(E_F): 9.0 states/eV/f.u.
V: 151 Å³ per cell
energy of formation from the pure elements: 0.1443 eV per atom
SG: Pm-3m

Lattice parameters (Å, degrees): 5.3196 5.3196 5.3196 90.00 90.00 90.00
Last column: nearest neighbours and their distance in Å.
Fractional coordinates of all 5 atoms:
Mn 0.0000 0.0000 0.0000  6 Th 2.66
Tb 0.5000 0.5000 0.5000  12 Th 3.76
Th 0.0000 0.5000 0.0000  2 Mn 2.66
Th 0.0000 0.0000 0.5000  2 Mn 2.66
Th 0.5000 0.0000 0.0000  2 Mn 2.66

Record 2
HfGeS2Cl | GGA-PBE | optimized geometry

## Properties
D(E_F): 4.3 states/eV/f.u.
V: 105 Å³ per cell
SG: P4/mmm
formation energy without anion corrections: 212 meV per atom

Lattice parameters (Å, degrees): 4.7734 4.7734 4.6274 90.00 90.00 90.00
Last column: nearest neighbours and their distance in Å.
Fractional coordinates of all 5 atoms:
Ge 0.0000 0.0000 0.0000  2 Cl 2.31, 4 S 2.39
Hf 0.5000 0.5000 0.5000  8 S 3.32, 4 Cl 3.38
S 0.0000 0.5000 0.0000  2 Ge 2.39
S 0.5000 0.0000 0.0000  2 Ge 2.39
Cl 0.0000 0.0000 0.5000  2 Ge 2.31

Record 3
Tb3Dy | GGA-PBE | optimized geometry

## Properties
D(E_F): 6.2 states/eV/f.u.
V: 127 Å³ per cell
energy of formation from the pure elements: 0.0190 eV per atom
SG: Pm-3m

Lattice parameters (Å, degrees): 5.0199 5.0199 5.0199 90.00 90.00 90.00
Last column: nearest neighbours and their distance in Å.
Fractional coordinates of all 4 atoms:
Tb 0.0000 0.5000 0.5000  8 Tb 3.55, 4 Dy 3.55
Tb 0.5000 0.0000 0.5000  8 Tb 3.55, 4 Dy 3.55
Tb 0.5000 0.5000 0.0000  8 Tb 3.55, 4 Dy 3.55
Dy 0.0000 0.0000 0.0000  12 Tb 3.55

Record 4
Co2NiOs | GGA-PBE | optimized geometry

## Properties
D(E_F): 5.9 states/eV/f.u.
V: 49 Å³ per cell
energy of formation from the pure elements: 0.2763 eV per atom
SG: C2/m

Lattice parameters (Å, degrees): 4.5423 4.9672 2.5089 77.17 86.17 116.13
Last column: nearest neighbours and their distance in Å.
Fractional coordinates of all 4 atoms:
Co 0.0000 0.0000 0.0000  6 Co 2.51-2.67, 2 Ni 2.52, 2 Os 2.52
Co 0.5000 0.0000 0.5000  6 Co 2.51-2.67, 2 Os 2.52, 2 Ni 2.52
Ni 0.0000 0.5000 0.5000  2 Ni 2.51, 4 Os 2.52-2.67, 4 Co 2.52
Os 0.5000 0.5000 0.0000  2 Os 2.51, 4 Ni 2.52-2.67, 4 Co 2.52

Record 5
CsCaPS2 | GGA-PBE | optimized geometry

## Properties
D(E_F): 4.4 states/eV/f.u.
V: 158 Å³ per cell
SG: P4/mmm
formation energy without anion corrections: 685 meV per atom

Lattice parameters (Å, degrees): 5.3356 5.3356 5.5654 90.00 90.00 90.00
Last column: nearest neighbours and their distance in Å.
Fractional coordinates of all 5 atoms:
Cs 0.0000 0.0000 0.0000  4 S 2.67, 2 P 2.78
P 0.0000 0.0000 0.5000  2 Cs 2.78
Ca 0.5000 0.5000 0.5000  4 P 3.77, 8 S 3.85
S 0.0000 0.5000 0.0000  2 Cs 2.67
S 0.5000 0.0000 0.0000  2 Cs 2.67

Record 6
Cd2SbRu2 | GGA-PBE | optimized geometry

## Properties
D(E_F): 2.3 states/eV/f.u.
V: 193 Å³ per cell
SG: P4/mbm
formation energy without anion corrections: 109 meV per atom

Lattice parameters (Å, degrees): 6.5891 6.5891 4.4529 90.00 90.00 90.00
Last column: nearest neighbours and their distance in Å.
Fractional coordinates of all 10 atoms:
Sb 0.0000 0.0000 0.0000  4 Ru 2.55
Sb 0.5000 0.5000 0.0000  4 Ru 2.55
Ru 0.3618 0.8618 0.0000  2 Sb 2.55, 1 Ru 2.57
Ru 0.8618 0.6382 0.0000  2 Sb 2.55, 1 Ru 2.57
Ru 0.6382 0.1382 0.0000  2 Sb 2.55, 1 Ru 2.57
Ru 0.1382 0.3618 0.0000  2 Sb 2.55, 1 Ru 2.57
Cd 0.1600 0.6600 0.5000  6 Ru 2.91-2.97, 1 Cd 2.98
Cd 0.6600 0.8400 0.5000  6 Ru 2.91-2.97, 1 Cd 2.98
Cd 0.8400 0.3400 0.5000  6 Ru 2.91-2.97, 1 Cd 2.98
Cd 0.3400 0.1600 0.5000  6 Ru 2.91-2.97, 1 Cd 2.98

Which value of D(E_F) does entry 4 give?
5.9 states/eV/f.u.

Among the records above, which one has the highest V?
Cd2SbRu2

Which formula does entry 5 have?
CsCaPS2